# 1
The following is a DFT calculation (PBE-GGA) of Al12Zn3Cu after structural relaxation.

```
Al12Zn3Cu
1.0
4.066 0.000 0.000
0.000 4.066 0.000
0.000 0.000 15.493
Al Cu Zn
12 1 3
Direct
0.000 0.500 0.626
0.000 0.500 0.121
0.500 0.000 0.121
0.500 0.500 0.000
0.500 0.000 0.879
0.500 0.000 0.626
0.000 0.500 0.374
0.500 0.500 0.500
0.500 0.000 0.374
0.000 0.500 0.879
0.500 0.500 0.248
0.500 0.500 0.752
0.000 0.000 0.000
0.000 0.000 0.500
0.000 0.000 0.249
0.000 0.000 0.751
```

Values from the calculation:
SG: P4/mmm
D(E_F) in states/eV/f.u.: 6.2
Formation energy from the elements in eV/atom: 0.013



# 2
The following is a DFT calculation (PBE-GGA) of YCrRu after structural relaxation.

```
YCrRu
1.0
3.947 0.000 0.000
-1.973 3.418 0.000
0.000 0.000 4.482
Y Ru Cr
1 1 1
Direct
0.333 0.667 0.666
0.667 0.333 0.177
0.000 0.000 0.157
```

Values from the calculation:
SG: P3m1
D(E_F) in states/eV/f.u.: 4.2
Formation energy from the elements in eV/atom: 0.065



# 3
The following is a DFT calculation (PBE-GGA) of NbRu3 after structural relaxation.

```
NbRu3
1.0
-2.379 -0.845 -1.143
2.183 -1.705 0.076
-2.728 -3.135 7.998
Nb Ru
1 3
Direct
0.000 0.000 0.500
0.333 0.667 0.766
0.000 0.000 0.000
0.333 0.667 0.234
```

Values from the calculation:
SG: P-6m2
D(E_F) in states/eV/f.u.: 4.6
Formation energy from the elements in eV/atom: 0.041



# 4
The following is a DFT calculation (PBE-GGA) of LaAg3Sn3 after structural relaxation.

```
LaAg3Sn3
1.0
7.514 0.000 0.000
0.000 7.514 0.000
0.000 0.000 7.514
Sn Ag La
6 6 2
Direct
0.250 0.000 0.500
0.000 0.500 0.750
0.000 0.500 0.250
0.500 0.250 0.000
0.500 0.750 0.000
0.750 0.000 0.500
0.000 0.250 0.500
0.750 0.500 0.000
0.000 0.750 0.500
0.250 0.500 0.000
0.500 0.000 0.250
0.500 0.000 0.750
0.500 0.500 0.500
0.000 0.000 0.000
```

Values from the calculation:
SG: Pm-3n
D(E_F) in states/eV/f.u.: 5.4
Formation energy from the elements in eV/atom: 0.178



# 5
The following is a DFT calculation (PBE-GGA) of LiSiNi after structural relaxation.

```
LiSiNi
1.0
-2.587 -2.503 -1.494
1.892 -2.961 1.685
-3.294 0.585 4.727
Si Li Ni
2 2 2
Direct
0.750 0.750 0.796
0.250 0.250 0.204
0.250 0.250 0.672
0.750 0.750 0.328
0.750 0.250 0.000
0.250 0.750 0.000
```

Values from the calculation:
E_tot in eV/cell: -28.438
SG: P4/nmm
D(E_F) in states/eV/f.u.: 1.7



# 6
The following is a DFT calculation (PBE-GGA) of MgAg3H after structural relaxation.

```
MgAg3H
1.0
-4.852 1.056 1.238
-0.679 -4.852 1.478
1.479 1.237 4.740
H Ag Mg
1 3 1
Direct
0.500 0.500 0.500
0.000 0.500 0.000
0.500 0.000 0.000
0.000 0.000 0.500
0.000 0.000 0.000
```

Values from the calculation:
E_tot in eV/cell: -8.157
SG: Pm-3m
D(E_F) in states/eV/f.u.: 1.7



# 7
The following is a DFT calculation (PBE-GGA) of GaTeSe2N after structural relaxation.

```
GaTeSe2N
1.0
5.219 0.000 0.000
0.000 5.219 0.000
0.000 0.000 3.747
Te Ga N Se
1 1 1 2
Direct
0.500 0.500 0.500
0.000 0.000 0.000
0.000 0.000 0.500
0.500 0.000 0.000
0.000 0.500 0.000
```

Values from the calculation:
E_tot in eV/cell: -18.419
SG: P4/mmm
D(E_F) in states/eV/f.u.: 2.9



# 8
The following is a DFT calculation (PBE-GGA) of Sm3Y8Er2 after structural relaxation.

```
Sm3Y8Er2
1.0
5.584 0.316 -0.982
-0.933 7.020 -3.046
1.819 0.599 10.578
Y Er Sm
8 2 3
Direct
0.500 0.399 0.217
0.000 0.135 0.269
0.500 0.818 0.217
0.001 0.673 0.345
0.000 0.865 0.731
0.500 0.601 0.783
0.999 0.327 0.655
0.500 0.182 0.783
0.499 0.241 0.483
0.501 0.759 0.517
0.500 0.000 0.000
0.000 0.711 0.000
0.000 0.289 0.000
```

Values from the calculation:
SG: C2/m
D(E_F) in states/eV/f.u.: 23.3
Formation energy from the elements in eV/atom: 0.245